Entry from the Alexandria database: Li2Ti6PbO14 after structural relaxation (GGA-PBEsol).

## Properties
The value obtained for the total DFT energy (no corrections) is -8.52 eV per atom. The calculation puts the raw formation energy at -270.7 kJ/mol of atoms.

a = 9.995 Å, b = 9.995 Å, c = 11.440 Å
α = 90.00°, β = 90.00°, γ = 67.43°
Sites, in units of the cell vectors:
Li 0.060 0.570 0.876
Li 0.070 0.560 0.376
Li 0.430 0.940 0.876
Li 0.440 0.930 0.376
Li 0.560 0.070 0.624
Li 0.570 0.060 0.124
Li 0.930 0.440 0.624
Li 0.940 0.430 0.124
Ti 0.011 0.775 0.117
Ti 0.012 0.770 0.636
Ti 0.225 0.989 0.117
Ti 0.230 0.988 0.636
Ti 0.242 0.258 0.750
Ti 0.243 0.243 0.500
Ti 0.257 0.257 0.000
Ti 0.258 0.242 0.250
Ti 0.270 0.512 0.136
Ti 0.275 0.511 0.617
Ti 0.488 0.730 0.136
Ti 0.489 0.725 0.617
Ti 0.511 0.275 0.383
Ti 0.512 0.270 0.864
Ti 0.725 0.489 0.383
Ti 0.730 0.488 0.864
Ti 0.742 0.758 0.750
Ti 0.743 0.743 0.000
Ti 0.757 0.757 0.500
Ti 0.758 0.742 0.250
Ti 0.770 0.012 0.364
Ti 0.775 0.011 0.883
Ti 0.988 0.230 0.364
Ti 0.989 0.225 0.883
Pb 0.157 0.843 0.379
Pb 0.343 0.657 0.879
Pb 0.657 0.343 0.121
Pb 0.843 0.157 0.621
O 0.080 0.920 0.622
O 0.089 0.911 0.131
O 0.118 0.355 0.878
O 0.120 0.349 0.372
O 0.128 0.137 0.750
O 0.131 0.131 0.500
O 0.134 0.134 0.000
O 0.137 0.128 0.250
O 0.139 0.646 0.514
O 0.140 0.643 0.238
O 0.143 0.640 0.738
O 0.145 0.382 0.622
O 0.146 0.639 0.014
O 0.151 0.380 0.128
O 0.349 0.120 0.628
O 0.354 0.861 0.514
O 0.355 0.118 0.122
O 0.357 0.860 0.238
O 0.360 0.857 0.738
O 0.361 0.854 0.014
O 0.363 0.372 0.750
O 0.366 0.366 0.500
O 0.369 0.369 0.000
O 0.372 0.363 0.250
O 0.380 0.151 0.872
O 0.382 0.145 0.378
O 0.411 0.589 0.631
O 0.420 0.580 0.122
O 0.580 0.420 0.878
O 0.589 0.411 0.369
O 0.618 0.855 0.622
O 0.620 0.849 0.128
O 0.628 0.637 0.750
O 0.631 0.631 0.000
O 0.634 0.634 0.500
O 0.637 0.628 0.250
O 0.639 0.146 0.986
O 0.640 0.143 0.262
O 0.643 0.140 0.762
O 0.645 0.882 0.878
O 0.646 0.139 0.486
O 0.651 0.880 0.372
O 0.849 0.620 0.872
O 0.854 0.361 0.986
O 0.855 0.618 0.378
O 0.857 0.360 0.262
O 0.860 0.357 0.762
O 0.861 0.354 0.486
O 0.863 0.872 0.750
O 0.866 0.866 0.000
O 0.869 0.869 0.500
O 0.872 0.863 0.250
O 0.880 0.651 0.628
O 0.882 0.645 0.122
O 0.911 0.089 0.869
O 0.920 0.080 0.378